No. 1
Here is an optimized crystal structure of AlCdP2 from the Alexandria database. Energies are from PBE-GGA.

Geometry as POSCAR:
```
AlCdP2
1.0
1.725 -2.336 0.000
1.725 2.336 0.000
0.000 0.000 9.271
Al Cd P
1 1 2
Cartesian
0.000 0.000 0.000
0.000 0.000 4.635
1.725 0.000 1.774
1.725 0.000 7.497
```

Calculated total energy   -3.58 eV/atom
Energy above the most stable polymorph in this dataset   420.6 meV per atom
V   74.7 Å³/f.u.
Space group   Cmmm
Total magnetization   0.0 μB per cell

***

No. 2
Here is an optimized crystal structure of Al2CdP from the Alexandria database. Energies are from PBE-GGA.

Geometry as POSCAR:
```
Al2CdP
1.0
4.540 0.000 0.000
0.000 4.540 0.000
0.000 0.000 3.532
Al Cd P
2 1 1
Cartesian
0.000 2.270 0.000
2.270 0.000 0.000
0.000 0.000 1.766
2.270 2.270 1.766
```

Calculated total energy   -3.20 eV/atom
Energy above the most stable polymorph in this dataset   333.1 meV per atom
V   72.8 Å³/f.u.
Space group   P4/mmm
Total magnetization   0.0 μB per cell

***

No. 3
Here is an optimized crystal structure of AlCdP2 from the Alexandria database. Energies are from PBE-GGA.

Geometry as POSCAR:
```
AlCdP2
1.0
3.282 0.000 0.000
0.000 3.282 0.000
0.000 0.000 7.678
Al Cd P
1 1 2
Cartesian
0.000 0.000 0.000
0.000 0.000 3.839
1.641 1.641 1.132
1.641 1.641 6.546
```

Calculated total energy   -3.73 eV/atom
Energy above the most stable polymorph in this dataset   269.6 meV per atom
V   82.7 Å³/f.u.
Space group   P4/mmm
Total magnetization   0.0 μB per cell

***

No. 4
Here is an optimized crystal structure of Al2CdP from the Alexandria database. Energies are from PBE-GGA.

Geometry as POSCAR:
```
Al2CdP
1.0
3.182 -3.919 0.000
3.182 3.919 0.000
0.000 0.000 2.890
Al Cd P
2 1 1
Cartesian
1.591 1.960 0.000
1.591 -1.960 0.000
0.000 0.000 1.445
3.182 0.000 1.445
```

Calculated total energy   -3.18 eV/atom
Energy above the most stable polymorph in this dataset   351.8 meV per atom
V   72.1 Å³/f.u.
Space group   Cmmm
Total magnetization   0.0 μB per cell

***

No. 5
Here is an optimized crystal structure of AlCdP2 from the Alexandria database. Energies are from PBE-GGA.

Geometry as POSCAR:
```
AlCdP2
1.0
1.526 0.881 9.648
-1.526 0.881 9.648
0.000 -1.763 9.648
Al Cd P
1 1 2
Cartesian
0.000 0.000 0.000
0.000 0.000 21.612
0.000 0.000 7.872
0.000 0.000 14.104
```

Calculated total energy   -3.43 eV/atom
Energy above the most stable polymorph in this dataset   573.0 meV per atom
V   77.9 Å³/f.u.
Space group   R3m
Total magnetization   0.0 μB per cell

***

No. 6
Here is an optimized crystal structure of Al2CdP from the Alexandria database. Energies are from PBE-GGA.

Geometry as POSCAR:
```
Al2CdP
1.0
-1.738 2.607 4.166
1.738 -2.607 4.166
1.738 2.607 -4.166
Al Cd P
2 1 1
Cartesian
0.000 0.000 1.759
0.000 0.000 6.574
0.000 2.607 0.000
1.738 0.000 0.000
```

Calculated total energy   -3.30 eV/atom
Energy above the most stable polymorph in this dataset   235.5 meV per atom
V   75.5 Å³/f.u.
Space group   Immm
Total magnetization   0.0 μB per cell

***

No. 7
Here is an optimized crystal structure of Al2CdP from the Alexandria database. Energies are from PBE-GGA.

Geometry as POSCAR:
```
Al2CdP
1.0
5.579 -1.396 0.000
5.579 1.396 0.000
-2.665 0.000 5.015
Al Cd P
2 1 1
Cartesian
0.000 0.000 0.000
5.266 0.000 4.926
1.345 0.000 2.795
3.921 0.000 1.389
```

Calculated total energy   -3.29 eV/atom
Energy above the most stable polymorph in this dataset   247.6 meV per atom
V   78.1 Å³/f.u.
Space group   Cm
Total magnetization   0.0 μB per cell

***

No. 8
Here is an optimized crystal structure of AlCdP2 from the Alexandria database. Energies are from PBE-GGA.

Geometry as POSCAR:
```
AlCdP2
1.0
0.000 3.269 3.269
3.269 0.000 3.269
3.269 3.269 0.000
Al Cd P
1 1 2
Cartesian
0.000 0.000 0.000
3.269 3.269 3.269
1.634 1.634 1.634
4.903 4.903 4.903
```

Calculated total energy   -3.48 eV/atom
Energy above the most stable polymorph in this dataset   517.6 meV per atom
V   69.8 Å³/f.u.
Space group   Fm-3m
Total magnetization   0.0 μB per cell

***

No. 9
Here is an optimized crystal structure of AlCdP2 from the Alexandria database. Energies are from PBE-GGA.

Geometry as POSCAR:
```
AlCdP2
1.0
3.208 0.000 0.000
0.000 3.691 0.000
0.000 0.000 6.792
Al Cd P
1 1 2
Cartesian
0.000 0.000 0.000
1.604 1.845 3.250
0.000 0.000 4.409
1.604 1.845 0.694
```

Calculated total energy   -3.89 eV/atom
Energy above the most stable polymorph in this dataset   113.3 meV per atom
V   80.4 Å³/f.u.
Space group   Pmm2
Total magnetization   0.0 μB per cell

***

No. 10
Here is an optimized crystal structure of Al2CdP from the Alexandria database. Energies are from PBE-GGA.

Geometry as POSCAR:
```
Al2CdP
1.0
-2.048 2.048 4.341
2.048 -2.048 4.341
2.048 2.048 -4.341
Al Cd P
2 1 1
Cartesian
0.000 0.000 0.000
0.000 2.048 2.170
2.048 0.000 2.170
0.000 0.000 4.341
```

Calculated total energy   -3.18 eV/atom
Energy above the most stable polymorph in this dataset   358.4 meV per atom
V   72.8 Å³/f.u.
Space group   I-4m2
Total magnetization   0.0 μB per cell

***

No. 11
Here is an optimized crystal structure of Al2CdP from the Alexandria database. Energies are from PBE-GGA.

Geometry as POSCAR:
```
Al2CdP
1.0
0.000 3.342 3.342
3.342 0.000 3.342
3.342 3.342 0.000
Al Cd P
2 1 1
Cartesian
0.000 0.000 0.000
1.671 1.671 1.671
3.342 3.342 3.342
5.013 5.013 5.013
```

Calculated total energy   -3.12 eV/atom
Energy above the most stable polymorph in this dataset   416.3 meV per atom
V   74.7 Å³/f.u.
Space group   F-43m
Total magnetization   0.0 μB per cell

***

No. 12
Here is an optimized crystal structure of AlCdP2 from the Alexandria database. Energies are from PBE-GGA.

Geometry as POSCAR:
```
AlCdP2
1.0
-1.587 2.461 4.594
1.587 -2.461 4.594
1.587 2.461 -4.594
Al Cd P
1 1 2
Cartesian
0.000 0.000 0.000
1.587 0.000 2.654
0.000 0.000 5.182
0.000 2.461 2.222
```

Calculated total energy   -3.63 eV/atom
Energy above the most stable polymorph in this dataset   374.4 meV per atom
V   71.7 Å³/f.u.
Space group   Imm2
Total magnetization   0.0 μB per cell

***

No. 13
Here is an optimized crystal structure of Al2CdP from the Alexandria database. Energies are from PBE-GGA.

Geometry as POSCAR:
```
Al2CdP
1.0
3.034 -1.755 0.000
3.034 1.755 0.000
-1.815 0.000 7.217
Al Cd P
2 1 1
Cartesian
1.017 0.000 1.434
3.236 0.000 5.783
-0.907 0.000 3.609
3.034 0.000 0.000
```

Calculated total energy   -3.54 eV/atom
Energy above the most stable polymorph in this dataset   0.0 meV per atom
V   76.9 Å³/f.u.
Space group   C2/m
Total magnetization   0.0 μB per cell

***

No. 14
Here is an optimized crystal structure of Al2CdP from the Alexandria database. Energies are from PBE-GGA.

Geometry as POSCAR:
```
Al2CdP
1.0
0.000 3.320 3.320
3.320 0.000 3.320
3.320 3.320 0.000
Al Cd P
2 1 1
Cartesian
1.660 1.660 1.660
4.981 4.981 4.981
0.000 0.000 0.000
3.320 3.320 3.320
```

Calculated total energy   -3.13 eV/atom
Energy above the most stable polymorph in this dataset   401.9 meV per atom
V   73.2 Å³/f.u.
Space group   Fm-3m
Total magnetization   0.0 μB per cell

***

No. 15
Here is an optimized crystal structure of Al2CdP from the Alexandria database. Energies are from PBE-GGA.

Geometry as POSCAR:
```
Al2CdP
1.0
3.114 0.000 0.000
0.000 3.244 0.000
0.000 0.000 7.159
Al Cd P
2 1 1
Cartesian
0.000 0.000 1.393
0.000 0.000 5.766
1.557 1.622 3.580
1.557 1.622 0.000
```

Calculated total energy   -3.35 eV/atom
Energy above the most stable polymorph in this dataset   181.6 meV per atom
V   72.3 Å³/f.u.
Space group   Pmmm
Total magnetization   0.0 μB per cell

***

No. 16
Here is an optimized crystal structure of Al2CdP from the Alexandria database. Energies are from PBE-GGA.

Geometry as POSCAR:
```
Al2CdP
1.0
3.538 0.000 0.000
0.000 3.538 0.000
0.000 0.000 6.183
Al Cd P
2 1 1
Cartesian
0.000 0.000 0.000
1.769 1.769 1.990
0.000 0.000 3.310
1.769 1.769 5.819
```

Calculated total energy   -3.41 eV/atom
Energy above the most stable polymorph in this dataset   128.9 meV per atom
V   77.4 Å³/f.u.
Space group   P4mm
Total magnetization   0.0 μB per cell

***

No. 17
Here is an optimized crystal structure of Al2CdP from the Alexandria database. Energies are from PBE-GGA.

Geometry as POSCAR:
```
Al2CdP
1.0
2.817 0.000 0.000
0.000 3.567 0.000
0.000 0.000 7.516
Al Cd P
2 1 1
Cartesian
0.000 0.000 1.695
0.000 0.000 5.821
1.409 1.783 3.758
0.000 1.783 0.000
```

Calculated total energy   -3.41 eV/atom
Energy above the most stable polymorph in this dataset   125.6 meV per atom
V   75.5 Å³/f.u.
Space group   Pmmm
Total magnetization   0.0 μB per cell

***

No. 18
Here is an optimized crystal structure of Al2CdP from the Alexandria database. Energies are from PBE-GGA.

Geometry as POSCAR:
```
Al2CdP
1.0
-2.144 2.144 3.942
2.144 -2.144 3.942
2.144 2.144 -3.942
Al Cd P
2 1 1
Cartesian
2.144 0.000 1.971
0.000 2.144 1.971
0.000 0.000 0.000
0.000 0.000 3.942
```

Calculated total energy   -3.17 eV/atom
Energy above the most stable polymorph in this dataset   368.8 meV per atom
V   72.5 Å³/f.u.
Space group   I4/mmm
Total magnetization   0.0 μB per cell

***

No. 19
Here is an optimized crystal structure of Al2CdP from the Alexandria database. Energies are from PBE-GGA.

Geometry as POSCAR:
```
Al2CdP
1.0
-1.697 1.717 6.713
1.697 -1.717 6.713
1.697 1.717 -6.713
Al Cd P
2 1 1
Cartesian
0.000 0.000 0.000
0.000 1.717 2.511
1.697 0.000 4.312
0.000 0.000 7.420
```

Calculated total energy   -3.43 eV/atom
Energy above the most stable polymorph in this dataset   109.5 meV per atom
V   78.2 Å³/f.u.
Space group   Imm2
Total magnetization   0.0 μB per cell

***

No. 20
Here is an optimized crystal structure of AlCdP2 from the Alexandria database. Energies are from PBE-GGA.

Geometry as POSCAR:
```
AlCdP2
1.0
-1.847 2.678 3.768
1.847 -2.678 3.768
1.847 2.678 -3.768
Al Cd P
1 1 2
Cartesian
0.000 0.000 0.000
0.000 0.000 3.768
1.847 0.000 1.595
0.000 2.678 2.173
```

Calculated total energy   -3.62 eV/atom
Energy above the most stable polymorph in this dataset   383.3 meV per atom
V   74.5 Å³/f.u.
Space group   Immm
Total magnetization   0.0 μB per cell